[1]
Computed, not measured: PmY2Cd2In2 after structural relaxation at the PBE level of DFT.

The space group is R-3m (No. 166, hexagonal axes) and the conventional cell measures 4.9511, 4.9511 and 27.3236 Å, with angles of 90.00, 90.00 and 120.00 degrees. The inequivalent atoms are Pm at (0.0000, 0.0000, 0.0000), Y at (0.0000, 0.0000, 0.1285), Cd at (0.0000, 0.0000, 0.3987) and In at (0.0000, 0.0000, 0.2573).

The volume is 193.4 Å³/f.u. The formation energy is -2.01 eV per formula unit.



[2]
Computed, not measured: BaTl2RhAu after structural relaxation at the PBE level of DFT.

The space group is P4/mmm (No. 123) and the conventional cell measures 5.254, 5.254 and 5.952 Å, with angles of 90.00, 90.00 and 90.00 degrees. The inequivalent atoms are Ba at (0.000, 0.000, 0.000), Tl at (0.000, 0.500, 0.500), Rh at (0.000, 0.000, 0.500) and Au at (0.500, 0.500, 0.000).

The excess energy over the best structure of this formula in the dataset is 39 meV per atom. The volume is 164.3 Å³/f.u. The formation energy is -0.97 eV per formula unit.